Computed, not measured: a relaxed structure of Pm3Al2CrO9 at the PBE with a Hubbard U level of DFT.

Geometry as POSCAR:
```
Pm3Al2CrO9
1.0
5.370 0.000 0.000
-2.685 4.651 0.000
0.000 0.000 6.584
Pm Al Cr O
3 2 1 9
Direct
0.000 0.000 0.000
0.333 0.667 0.666
0.667 0.333 0.334
0.333 0.667 0.161
0.667 0.333 0.839
0.000 0.000 0.500
0.000 0.500 0.000
0.170 0.341 0.328
0.170 0.830 0.328
0.341 0.170 0.672
0.500 0.000 0.000
0.500 0.500 0.000
0.659 0.830 0.328
0.830 0.170 0.672
0.830 0.659 0.672
```

Values from the calculation:
Crystal system: trigonal
D(E_F) (states/eV/f.u.): 0.0
Uncorrected energy (eV/atom): -7.944
Calculated density (Mg/m³): 6.916